# 1
Below is a relaxed structure of YbSbIr, with properties calculated at the PBE level.

Cell and atoms, written as extended XYZ:
```
12
Lattice="4.562 0.000 0.000 0.000 7.300 0.000 0.000 0.000 7.801" Properties=species:S:1:pos:R:3 pbc="T T T"
Sb 1.141 1.275 0.636
Ir 3.422 1.481 7.038
Sb 1.141 4.925 3.264
Sb 3.422 2.375 4.536
Yb 1.141 0.132 5.391
Yb 1.141 3.782 6.310
Yb 3.422 3.518 1.490
Sb 3.422 6.025 7.165
Ir 1.141 2.169 3.138
Ir 3.422 5.131 4.663
Yb 3.422 7.169 2.410
Ir 1.141 5.819 0.763
```

Values from the calculation:
SG: No. 62
V: 21.65 Å³/atom
D(E_F): 6.4 states/eV/cell
crystal system: orthorhombic
E_form (uncorrected): -0.743 eV per atom

---

# 2
Below is a relaxed structure of ZnSbIr, with properties calculated at the PBE level.

Cell and atoms, written as extended XYZ:
```
3
Lattice="3.247 0.000 0.000 -1.623 2.812 0.000 0.000 0.000 6.239" Properties=species:S:1:pos:R:3 pbc="T T T"
Zn 0.000 1.875 4.374
Sb 1.623 0.937 1.885
Ir 0.000 0.000 6.220
```

Values from the calculation:
SG: No. 156
V: 18.99 Å³/atom
D(E_F): 1.7 states/eV/cell
crystal system: trigonal
E_form (uncorrected): 0.097 eV per atom

---

# 3
Below is a relaxed structure of ZnSbIr, with properties calculated at the PBE level.

Cell and atoms, written as extended XYZ:
```
3
Lattice="4.803 0.009 -0.014 2.139 4.300 0.014 -3.462 -2.168 2.525" Properties=species:S:1:pos:R:3 pbc="T T T"
Zn 2.338 1.451 0.000
Ir 0.039 0.024 0.000
Sb 4.565 2.833 0.000
```

Values from the calculation:
SG: No. 107
V: 17.37 Å³/atom
D(E_F): 1.6 states/eV/cell
crystal system: tetragonal
E_form (uncorrected): 0.036 eV per atom